Record 1
Density functional theory data (GGA-PBE) for a geometry-optimized As2RuSeN structure.

Cell: 4.7122 4.7122 4.7973 Å, 90.00 90.00 90.00°
Positions (direct):
N1 0.5000 0.5000 0.5000
Se1 0.0000 0.0000 0.5000
As1 0.5000 0.0000 0.0000
As2 0.0000 0.5000 0.0000
Ru1 0.0000 0.0000 0.0000

Values from the calculation:
Density of states at the Fermi level (states/eV/atom): 1.2868
Formation energy without anion corrections (kJ/mol of formula units): 757
Calculated density (g/cm³): 5.4
Energy relative to the lowest polymorph listed for this composition (meV per atom): 655
M_tot (μB/f.u.): 0.0

=====

Record 2
Density functional theory data (GGA-PBE) for a geometry-optimized CaSc2Pb structure.

Cell: 6.3829 6.3829 5.2189 Å, 65.85 65.85 34.95°
Positions (direct):
Sc1 0.0304 0.0304 0.9696
Ca1 0.2500 0.2500 0.2500
Pb1 0.7500 0.7500 0.7500
Sc2 0.4696 0.4696 0.5304

Values from the calculation:
Density of states at the Fermi level (states/eV/atom): 0.9751
Calculated density (g/cm³): 5.1
M_tot (μB/f.u.): 0.0
ΔH_f (0 K) (meV/atom): -165

=====

Record 3
Density functional theory data (GGA-PBE) for a geometry-optimized PrCoGe structure.

Cell: 4.1700 4.1701 6.9598 Å, 90.00 90.01 90.00°
Each line ends with the local moment (μB).
Positions (direct):
Pr1 0.7540 0.2477 0.8124  -0.03
Co1 0.2539 0.2477 0.5016  0.51
Co2 0.7539 0.7478 0.5016  0.51
Pr2 0.2538 0.7477 0.1909  -0.03
Ge1 0.7537 0.2478 0.3215  -0.01
Ge2 0.2539 0.7478 0.6817  -0.01

Values from the calculation:
Density of states at the Fermi level (states/eV/atom): 0.5122
Calculated density (g/cm³): 7.5
M_tot (μB/f.u.): 0.4
ΔH_f (0 K) (meV/atom): -594

=====

Record 4
Density functional theory data (GGA-PBE) for a geometry-optimized YReHg2 structure.

Cell: 3.6863 3.6863 6.1606 Å, 90.00 90.00 90.00°
Positions (direct):
Hg1 0.0000 0.0000 0.4796
Re1 0.5000 0.5000 0.2500
Hg2 0.0000 0.0000 0.0204
Y1 0.5000 0.5000 0.7500

Values from the calculation:
Density of states at the Fermi level (states/eV/atom): 0.4890
Calculated density (g/cm³): 13.4
Energy relative to the lowest polymorph listed for this composition (meV per atom): 105
M_tot (μB/f.u.): 0.0
ΔH_f (0 K) (meV/atom): 390